SrMgPdSe2: single point on PBEsol structure, meta-GGA SCAN.

a b c (Å): 4.8335 4.8335 5.9012
angles (deg): 90.00 90.00 90.00
Element x y z (fractional)
Sr1 0.0000 0.0000 0.5000
Mg1 0.0000 0.0000 0.0000
Se1 0.0000 0.5000 0.0000
Se2 0.5000 0.0000 0.0000
Pd1 0.5000 0.5000 0.5000

Calculated values
formation energy without anion corrections: -0.02 eV per atom
SG: P4/mmm
spin magnetization: 0.00 μB/cell
total energy: -100.30 eV/cell
calculated volume: 137.9 Å³/cell